A geometry-optimized LiSb2Pd2 structure, computed with PBE-GGA.

Cell: 4.503 4.503 11.280 Å, 90.00 90.00 90.00°
Space group I4/mmm (No. 139)
Symmetry-distinct sites (fractional):
Li: 0.000 0.000 0.000 x2
Sb: 0.000 0.000 0.374 x4
Pd: 0.000 0.500 0.250 x4

Output
* ΔE to the lowest computed polymorph: 149 meV/atom
* V: 228.69 Å³/cell

---

A geometry-optimized MnBe2Ag structure, computed with PBE-GGA.

Cell: 2.781 3.714 4.703 Å, 90.00 107.09 90.00°
Space group Pm (No. 6)
Symmetry-distinct sites (fractional):
Mn: 0.000 0.000 0.000 x1
Be: 0.288 0.000 0.573 x1
Be: 0.426 0.500 0.852 x1
Ag: 0.696 0.500 0.390 x1

Output
* formation energy: 0.13 eV per atom
* ΔE to the lowest computed polymorph: 81 meV/atom
* V: 46.43 Å³/cell

---

Computed total magnetic moment (μB/f.u.) in order:
0.00 2.67